Entry from Alexandria via LeMat-Bulk: a relaxed HOsSe2 crystal (GGA-PBEsol).

a b c (Å): 4.2244 4.2244 4.2244
angles (deg): 60.00 60.00 60.00
With the nearest neighbours (Å) after each atom.
Positions (direct):
Se1 0.2500 0.2500 0.2500  4 Os 2.59, 4 H 2.59
Os1 0.5000 0.5000 0.5000  8 Se 2.59
Se2 0.7500 0.7500 0.7500  4 H 2.59, 4 Os 2.59
H1 0.0000 0.0000 0.0000  8 Se 2.59

total magnetic moment: 0.000 μB per cell
symmetry: Fm-3m
uncorrected energy: -5.336 eV/atom
theoretical density: 10.88 g/cm³

=====

Entry from Alexandria via LeMat-Bulk: a relaxed YMgAl4 crystal (GGA-PBEsol).

a b c (Å): 5.5087 5.5087 8.7193
angles (deg): 90.00 90.00 120.00
With the nearest neighbours (Å) after each atom.
Positions (direct):
Al1 0.1713 0.8287 0.7486  6 Al 2.68-2.83
Al2 0.8287 0.1713 0.2514  6 Al 2.68-2.83
Al3 0.3427 0.1713 0.2514  6 Al 2.68-2.83
Al4 0.8287 0.6573 0.2514  6 Al 2.68-2.83
Al5 0.1713 0.3427 0.7486  6 Al 2.68-2.83
Mg1 0.6667 0.3333 0.5578  12 Al 3.09-3.22, 1 Y 3.26, 3 Mg 3.34
Y1 0.6667 0.3333 0.9313  12 Al 3.18-3.24, 1 Mg 3.26, 3 Y 3.40
Al6 0.0000 0.0000 0.5000  6 Al 2.72
Y2 0.3333 0.6667 0.0687  12 Al 3.18-3.24, 1 Mg 3.26, 3 Y 3.40
Mg2 0.3333 0.6667 0.4422  12 Al 3.09-3.22, 1 Y 3.26, 3 Mg 3.34
Al7 0.0000 0.0000 0.0000  6 Al 2.73
Al8 0.6573 0.8287 0.7486  6 Al 2.68-2.83

total magnetic moment: 0.000 μB per cell
symmetry: P-3m1
offset from the most stable computed form: 0.0 meV per atom
uncorrected energy: -4.424 eV/atom
E_form: -0.27 eV per atom
theoretical density: 3.20 g/cm³

=====

Entry from Alexandria via LeMat-Bulk: a relaxed MgNiO2 crystal (GGA-PBEsol).

a b c (Å): 2.9792 2.9792 5.0285
angles (deg): 72.77 72.77 60.00
With the nearest neighbours (Å) after each atom.
Positions (direct):
O1 0.2499 0.2499 0.2503  3 Ni 2.09, 3 Mg 2.09
O2 0.7501 0.7501 0.7497  3 Ni 2.09, 3 Mg 2.09
Mg1 0.0000 0.0000 0.0000  6 O 2.09
Ni1 0.5000 0.5000 0.5000  6 O 2.09

total magnetic moment: 2.026 μB per cell
symmetry: R-3m
uncorrected energy: -6.223 eV/atom
uncorrected formation energy: -1629 meV per atom
theoretical density: 5.26 g/cm³